Sr2Sn13 (PBE, optimized geometry); space group = No. 166; V = 504 Å³/cell; calculated formation energy = -0.47 eV/f.u.; crystal system = trigonal
1.0
4.522 2.611 7.111
-4.522 2.611 7.111
0.000 -5.222 7.111
Sr Sn
2 13
direct
0.245 0.245 0.245 Sr
0.755 0.755 0.755 Sr
0.000 0.000 0.000 Sn
0.141 0.762 0.762 Sn
0.157 0.513 0.513 Sn
0.238 0.238 0.859 Sn
0.238 0.859 0.238 Sn
0.487 0.487 0.843 Sn
0.487 0.843 0.487 Sn
0.513 0.157 0.513 Sn
0.513 0.513 0.157 Sn
0.762 0.141 0.762 Sn
0.762 0.762 0.141 Sn
0.843 0.487 0.487 Sn
0.859 0.238 0.238 Sn


Ba5Sb2P (PBE, optimized geometry); space group = No. 15; V = 703 Å³/cell; crystal system = monoclinic; E_form (uncorrected) = -0.954 eV/atom
1.0
9.448 -4.055 0.000
9.448 4.055 0.000
-0.711 0.000 9.172
Ba Sb P
10 4 2
direct
0.075 0.925 0.750 Ba
0.149 0.290 0.309 Ba
0.284 0.532 0.077 Ba
0.290 0.149 0.809 Ba
0.468 0.716 0.423 Ba
0.532 0.284 0.577 Ba
0.710 0.851 0.191 Ba
0.716 0.468 0.923 Ba
0.851 0.710 0.691 Ba
0.925 0.075 0.250 Ba
0.113 0.685 0.432 Sb
0.315 0.887 0.068 Sb
0.685 0.113 0.932 Sb
0.887 0.315 0.568 Sb
0.000 0.500 0.000 P
0.500 0.000 0.500 P


CeMgTlBr6 (PBE, optimized geometry); space group = No. 163; V = 675 Å³/cell; crystal system = trigonal; E_form (uncorrected) = -1.486 eV/atom
1.0
7.334 0.000 0.000
-3.667 6.351 0.000
0.000 0.000 14.485
Ce Mg Tl Br
2 2 2 12
direct
0.333 0.667 0.250 Ce
0.667 0.333 0.750 Ce
0.333 0.667 0.750 Mg
0.667 0.333 0.250 Mg
0.000 0.000 0.000 Tl
0.000 0.000 0.500 Tl
0.022 0.380 0.640 Br
0.022 0.642 0.860 Br
0.358 0.380 0.860 Br
0.358 0.978 0.640 Br
0.380 0.022 0.140 Br
0.380 0.358 0.360 Br
0.620 0.642 0.640 Br
0.620 0.978 0.860 Br
0.642 0.022 0.360 Br
0.642 0.620 0.140 Br
0.978 0.358 0.140 Br
0.978 0.620 0.360 Br


Li5Sn6Pd (PBE, optimized geometry); space group = No. 65; V = 243 Å³/cell; calculated formation energy = -3.94 eV/f.u.; crystal system = orthorhombic
1.0
2.396 -7.324 0.000
2.396 7.324 0.000
0.000 0.000 6.926
Li Sn Pd
5 6 1
direct
0.000 0.000 0.000 Li
0.331 0.669 0.500 Li
0.335 0.665 0.000 Li
0.665 0.335 0.000 Li
0.669 0.331 0.500 Li
0.164 0.836 0.260 Sn
0.164 0.836 0.740 Sn
0.500 0.500 0.262 Sn
0.500 0.500 0.738 Sn
0.836 0.164 0.260 Sn
0.836 0.164 0.740 Sn
0.000 0.000 0.500 Pd


What is the formula in the third record? CeMgTlBr6


Number 3 is which compound? CeMgTlBr6


Which formula does entry 4 have? Li5Sn6Pd